## one
The following is a PBE calculation of Li4Mg after structural relaxation, from Alexandria via LeMat-Bulk.

Lattice parameters (Å, degrees): 6.540 6.540 6.540 90.00 90.00 90.00
Space group Im-3m (No. 229)
One atom of each set of equivalent atoms:
Li 0.250 0.250 0.250
Mg 0.000 0.000 0.000

***

## two
The following is a PBE calculation of Li4Mg after structural relaxation, from Alexandria via LeMat-Bulk.

Lattice parameters (Å, degrees): 4.391 4.391 10.191 90.00 90.00 90.00
Space group I4/mmm (No. 139)
One atom of each set of equivalent atoms:
Li 0.000 0.000 0.115
Li 0.000 0.500 0.250
Mg 0.000 0.000 0.500

***

## three
The following is a PBE calculation of Li4Mg after structural relaxation, from Alexandria via LeMat-Bulk.

Lattice parameters (Å, degrees): 5.694 4.875 8.280 90.00 119.07 90.00
Space group P2_1/c (No. 14)
One atom of each set of equivalent atoms:
Li 0.115 0.001 0.204
Li 0.293 0.501 0.097
Mg 0.500 0.000 0.000

***

Structures ranked by computed energy, the most stable listed first: three, two, one.

***

## one
The following is a PBE calculation of Li8Mg3 after structural relaxation, from Alexandria via LeMat-Bulk.

Lattice parameters (Å, degrees): 8.7508 8.7508 11.1083 90.00 90.00 120.00
Space group R-3 (No. 148, hexagonal axes)
One atom of each set of equivalent atoms:
Li 0.0000 0.0000 0.1147
Li 0.0039 0.2001 0.6087
Mg 0.0000 0.5000 0.5000

***

## two
The following is a PBE calculation of Li8Mg3 after structural relaxation, from Alexandria via LeMat-Bulk.

Lattice parameters (Å, degrees): 9.560 4.222 11.546 90.00 107.18 90.00
Space group C2/m (No. 12)
One atom of each set of equivalent atoms:
Li 0.046 0.000 0.318
Li 0.140 0.000 0.957
Li 0.180 0.500 0.771
Li 0.230 0.000 0.591
Mg 0.000 0.500 0.500
Mg 0.091 0.500 0.138

***

Structures ranked by computed energy, the most stable listed first: two, one.

***

## one
The following is a PBE calculation of LiMg5 after structural relaxation, from Alexandria via LeMat-Bulk.

Lattice parameters (Å, degrees): 3.1556 3.1556 15.4782 90.00 90.00 120.00
Space group P-6m2 (No. 187)
One atom of each set of equivalent atoms:
Li 0.0000 0.0000 0.0000
Mg 0.0000 0.0000 0.3283
Mg 0.3333 0.6667 0.1573
Mg 0.3333 0.6667 0.5000

***

## two
The following is a PBE calculation of LiMg5 after structural relaxation, from Alexandria via LeMat-Bulk.

Lattice parameters (Å, degrees): 5.187 3.156 16.330 90.00 90.00 90.00
Space group Amm2 (No. 38)
One atom of each set of equivalent atoms:
Li 0.000 0.000 0.000
Mg 0.000 0.000 0.335
Mg 0.000 0.000 0.664
Mg 0.500 0.000 0.110
Mg 0.500 0.000 0.445
Mg 0.500 0.000 0.777

***

Structures ranked by computed energy, the most stable listed first: two, one.

***

## one
The following is a PBE calculation of LiMg5 after structural relaxation, from Alexandria via LeMat-Bulk.

Lattice parameters (Å, degrees): 8.304 8.304 8.304 90.00 90.00 90.00
Space group F-43m (No. 216)
One atom of each set of equivalent atoms:
Li 0.000 0.000 0.000
Mg 0.125 0.125 0.625
Mg 0.250 0.250 0.250

***

## two
The following is a PBE calculation of LiMg5 after structural relaxation, from Alexandria via LeMat-Bulk.

Lattice parameters (Å, degrees): 5.9009 5.9009 5.1039 90.00 90.00 120.00
Space group P6/mmm (No. 191)
One atom of each set of equivalent atoms:
Li 0.0000 0.0000 0.0000
Mg 0.0000 0.5000 0.5000
Mg 0.3333 0.6667 0.0000

***

## three
The following is a PBE calculation of LiMg5 after structural relaxation, from Alexandria via LeMat-Bulk.

Lattice parameters (Å, degrees): 11.582 3.165 7.490 90.00 103.76 90.00
Space group Cm (No. 8)
One atom of each set of equivalent atoms:
Li 0.000 0.000 0.000
Mg 0.056 0.000 0.618
Mg 0.167 0.500 0.333
Mg 0.220 0.500 0.950
Mg 0.335 0.000 0.675
Mg 0.393 0.000 0.273

***

## four
The following is a PBE calculation of LiMg5 after structural relaxation, from Alexandria via LeMat-Bulk.

Lattice parameters (Å, degrees): 5.4716 5.4716 5.1490 90.00 90.00 120.00
Space group P-62m (No. 189)
One atom of each set of equivalent atoms:
Li 0.0000 0.0000 0.0000
Mg 0.0000 0.6699 0.5000
Mg 0.3333 0.6667 0.0000

***

Structures ranked by computed energy, the most stable listed first: three, four, one, two.

***

## one
The following is a PBE calculation of Li3Mg5 after structural relaxation, from Alexandria via LeMat-Bulk.

Lattice parameters (Å, degrees): 6.398 6.398 8.297 90.00 90.00 90.00
Space group I4/mmm (No. 139)
One atom of each set of equivalent atoms:
Li 0.000 0.000 0.000
Li 0.000 0.500 0.000
Mg 0.000 0.000 0.500
Mg 0.250 0.250 0.250

***

## two
The following is a PBE calculation of Li3Mg5 after structural relaxation, from Alexandria via LeMat-Bulk.

Lattice parameters (Å, degrees): 6.930 9.878 4.895 90.00 90.00 90.00
Space group Cmmm (No. 65)
One atom of each set of equivalent atoms:
Li 0.000 0.000 0.000
Li 0.000 0.259 0.500
Mg 0.000 0.500 0.000
Mg 0.233 0.000 0.500
Mg 0.250 0.250 0.000

***

## three
The following is a PBE calculation of Li3Mg5 after structural relaxation, from Alexandria via LeMat-Bulk.

Lattice parameters (Å, degrees): 8.2755 8.2755 5.7065 90.00 90.00 120.00
Space group P6_3/mcm (No. 193)
One atom of each set of equivalent atoms:
Li 0.0000 0.4028 0.2500
Mg 0.0000 0.2356 0.7500
Mg 0.3333 0.6667 0.0000

***

Structures ranked by computed energy, the most stable listed first: two, one, three.

***

## one
The following is a PBE calculation of LiMg7 after structural relaxation, from Alexandria via LeMat-Bulk.

Lattice parameters (Å, degrees): 8.987 8.987 8.987 90.00 90.00 90.00
Space group Fm-3m (No. 225)
One atom of each set of equivalent atoms:
Li 0.000 0.000 0.000
Mg 0.000 0.000 0.500
Mg 0.000 0.250 0.250

***

## two
The following is a PBE calculation of LiMg7 after structural relaxation, from Alexandria via LeMat-Bulk.

Lattice parameters (Å, degrees): 6.2866 6.2866 5.2477 90.00 90.00 120.00
Space group P-6m2 (No. 187)
One atom of each set of equivalent atoms:
Li 0.0000 0.0000 0.0000
Mg 0.0002 0.5001 0.0000
Mg 0.1658 0.3316 0.5000
Mg 0.6667 0.3333 0.5000

***

Structures ranked by computed energy, the most stable listed first: two, one.